First-principles (GGA-PBE) data for an optimized crystal structure of LiAs2O, as listed in the Alexandria database.

Cell: 8.6058 8.6058 3.6544 Å, 90.00 90.00 90.00°
With the nearest neighbours (Å) after each atom.
Space group I-42d (No. 122)
Symmetry-distinct sites (fractional):
Li 0.0000 0.0000 0.0000 [4 per cell]  2 O 1.83
As 0.1495 0.2500 0.6250 [8 per cell]  2 As 2.52, 2 O 2.55
O 0.0000 0.0000 0.5000 [4 per cell]  2 Li 1.83

Values from the calculation:
**Mass density**: 4.24 g/cm³
**Formation energy without anion corrections**: -0.341 eV/atom

***

First-principles (GGA-PBE) data for an optimized crystal structure of LiAsO3, as listed in the Alexandria database.

Cell: 10.4100 9.5952 5.3313 Å, 90.00 110.91 90.00°
With the nearest neighbours (Å) after each atom.
Space group C2/c (No. 15)
Symmetry-distinct sites (fractional):
Li 0.0000 0.1146 0.2500 [4 per cell]  4 O 2.02-2.15
Li 0.0000 0.2123 0.7500 [4 per cell]  4 O 1.97-2.00
As 0.2087 0.4052 0.2368 [8 per cell]  4 O 1.67-1.80
O 0.1191 0.0857 0.6390 [8 per cell]  1 As 1.68
O 0.1262 0.2554 0.1237 [8 per cell]  1 As 1.67
O 0.1397 0.4646 0.4816 [8 per cell]  2 As 1.79-1.80

Values from the calculation:
**Mass density**: 3.47 g/cm³
**Formation energy without anion corrections**: -1.529 eV/atom

***

First-principles (GGA-PBE) data for an optimized crystal structure of Li3AsO4, as listed in the Alexandria database.

Cell: 4.4337 4.4337 4.4337 Å, 90.00 90.00 90.00°
With the nearest neighbours (Å) after each atom.
Space group P-43m (No. 215)
Symmetry-distinct sites (fractional):
Li 0.0000 0.0000 0.5000 [3 per cell]  4 O 1.99
As 0.5000 0.5000 0.5000 [1 per cell]  4 O 1.73
O 0.2747 0.2747 0.7253 [4 per cell]  1 As 1.73

Values from the calculation:
**Mass density**: 3.04 g/cm³
**E above lowest polymorph**: 0.035 eV per atom
**Formation energy without anion corrections**: -1.883 eV/atom

***

First-principles (GGA-PBE) data for an optimized crystal structure of Li5AsO4, as listed in the Alexandria database.

Cell: 6.1631 7.6167 4.5126 Å, 90.00 90.00 90.00°
With the nearest neighbours (Å) after each atom.
Space group Pmmn (No. 59, origin choice 2)
Symmetry-distinct sites (fractional):
Li 0.0156 0.0681 0.2418 [8 per cell]  3 O 1.91-2.05
Li 0.2500 0.7500 0.1938 [2 per cell]  4 O 2.00-2.04
As 0.2500 0.2500 0.8263 [2 per cell]  2 O 1.81
O 0.0282 0.2500 0.5631 [4 per cell]  1 As 1.81, 2 Li 2.01
O 0.2500 0.5263 0.9627 [4 per cell]  5 Li 1.91-2.05

Values from the calculation:
**Mass density**: 2.72 g/cm³
**Formation energy without anion corrections**: -1.662 eV/atom

***

First-principles (GGA-PBE) data for an optimized crystal structure of LiAs3O, as listed in the Alexandria database.

Cell: 4.4216 4.4216 4.4216 Å, 90.00 90.00 90.00°
With the nearest neighbours (Å) after each atom.
Space group Pm-3m (No. 221)
Symmetry-distinct sites (fractional):
Li 0.0000 0.0000 0.0000 [1 per cell]  12 As 3.13
As 0.0000 0.5000 0.5000 [3 per cell]  2 O 2.21
O 0.5000 0.5000 0.5000 [1 per cell]  6 As 2.21

Values from the calculation:
**Mass density**: 4.76 g/cm³
**E above lowest polymorph**: 0.000 eV per atom
**Formation energy without anion corrections**: 0.064 eV/atom

***

First-principles (GGA-PBE) data for an optimized crystal structure of Li8AsO3, as listed in the Alexandria database.

Cell: 5.0919 5.0919 5.0919 Å, 90.00 90.00 90.00°
With the nearest neighbours (Å) after each atom.
Space group Pm-3m (No. 221)
Symmetry-distinct sites (fractional):
Li 0.2314 0.2314 0.2314 [8 per cell]  3 O 2.16, 3 Li 2.36, 1 As 2.37
As 0.5000 0.5000 0.5000 [1 per cell]  8 Li 2.37
O 0.0000 0.0000 0.5000 [3 per cell]  8 Li 2.16

Values from the calculation:
**Mass density**: 2.24 g/cm³
**Formation energy without anion corrections**: -1.237 eV/atom

***

First-principles (GGA-PBE) data for an optimized crystal structure of LiAs3O, as listed in the Alexandria database.

Cell: 4.4552 4.4552 4.4552 Å, 90.00 90.00 90.00°
With the nearest neighbours (Å) after each atom.
Space group Pm-3m (No. 221)
Symmetry-distinct sites (fractional):
Li 0.0000 0.0000 0.0000 [1 per cell]  6 As 2.23
As 0.0000 0.0000 0.5000 [3 per cell]  2 Li 2.23
O 0.5000 0.5000 0.5000 [1 per cell]  12 As 3.15

Values from the calculation:
**Mass density**: 4.65 g/cm³
**E above lowest polymorph**: 0.780 eV per atom
**Formation energy without anion corrections**: 0.844 eV/atom

***

First-principles (GGA-PBE) data for an optimized crystal structure of LiAsO3, as listed in the Alexandria database.

Cell: 3.6269 3.6269 3.6269 Å, 90.00 90.00 90.00°
With the nearest neighbours (Å) after each atom.
Space group Pm-3m (No. 221)
Symmetry-distinct sites (fractional):
Li 0.0000 0.0000 0.0000 [1 per cell]  12 O 2.56
As 0.5000 0.5000 0.5000 [1 per cell]  6 O 1.81
O 0.0000 0.5000 0.5000 [3 per cell]  2 As 1.81

Values from the calculation:
**Mass density**: 4.52 g/cm³
**Formation energy without anion corrections**: -1.136 eV/atom

***

N(E_F) (states/eV per cell)
12.29 0.00 0.00 0.00 4.33 5.32 3.04 0.90